Entry 1:
{
  "formula": "ZrUH",
  "functional": "GGA-PBE",
  "state": "optimized geometry",
  "cell": [[2.967, 0.000, 0.000], [0.000, 2.967, 0.000], [0.000, 0.000, 11.464]],
  "species": ["Zr", "Zr", "U", "U", "H", "H"],
  "fractional_positions": [[0.000, 0.000, 0.000], [0.500, 0.500, 0.500], [0.000, 0.000, 0.273], [0.500, 0.500, 0.773], [0.000, 0.000, 0.470], [0.500, 0.500, 0.970]],
  "volume_a3_per_atom": 16.8,
  "total_energy_ev_per_cell": -45.268,
  "total_magnetization_mub_per_fu": 2.56,
  "dos_ef_per_ev_cell": 8.602,
  "relative_energy_mev_per_atom": 0
}



Entry 2:
{
  "formula": "Rb2UCuTe5",
  "functional": "GGA-PBE",
  "state": "optimized geometry",
  "cell": [[2.160, -11.191, 0.000], [2.160, 11.191, 0.000], [0.000, 0.000, 15.120]],
  "species": ["Rb", "Rb", "Rb", "Rb", "U", "U", "Cu", "Cu", "Te", "Te", "Te", "Te", "Te", "Te", "Te", "Te", "Te", "Te"],
  "fractional_positions": [[0.120, 0.880, 0.500], [0.128, 0.872, 0.871], [0.872, 0.128, 0.371], [0.880, 0.120, 0.000], [0.203, 0.797, 0.183], [0.797, 0.203, 0.683], [0.404, 0.596, 0.594], [0.596, 0.404, 0.094], [0.071, 0.929, 0.181], [0.292, 0.708, 0.545], [0.306, 0.694, 0.819], [0.330, 0.670, 0.186], [0.486, 0.514, 0.480], [0.514, 0.486, 0.980], [0.670, 0.330, 0.686], [0.694, 0.306, 0.319], [0.708, 0.292, 0.045], [0.929, 0.071, 0.681]],
  "volume_a3_per_atom": 40.6,
  "total_energy_ev_per_cell": -76.235,
  "total_magnetization_mub_per_fu": 0.58,
  "dos_ef_per_ev_cell": 15.181
}



Entry 3:
{
  "formula": "Th6Ir2RuSe3",
  "functional": "GGA-PBE",
  "state": "optimized geometry",
  "cell": [[9.456, -2.064, 0.000], [9.456, 2.064, 0.000], [-2.719, 0.000, 8.327]],
  "species": ["Th", "Th", "Th", "Th", "Th", "Th", "Ir", "Ir", "Ru", "Se", "Se", "Se"],
  "fractional_positions": [[0.007, 0.007, 0.229], [0.326, 0.326, 0.435], [0.343, 0.343, 0.900], [0.657, 0.657, 0.100], [0.674, 0.674, 0.565], [0.993, 0.993, 0.771], [0.167, 0.167, 0.334], [0.833, 0.833, 0.666], [0.500, 0.500, 0.000], [0.167, 0.167, 0.833], [0.500, 0.500, 0.500], [0.833, 0.833, 0.167]],
  "volume_a3_per_atom": 27.1,
  "total_energy_ev_per_cell": -96.752,
  "total_magnetization_mub_per_fu": 0.00,
  "dos_ef_per_ev_cell": 9.185
}



Entry 4:
{
  "formula": "Mn2Ir",
  "functional": "GGA-PBE",
  "state": "optimized geometry",
  "cell": [[9.361, 0.000, 0.000], [0.000, 2.628, 0.000], [-1.416, 0.000, 5.935]],
  "species": ["Mn", "Mn", "Mn", "Mn", "Mn", "Mn", "Mn", "Mn", "Ir", "Ir", "Ir", "Ir"],
  "fractional_positions": [[0.000, 0.000, 0.000], [0.058, 0.000, 0.619], [0.221, 0.500, 0.946], [0.387, 0.000, 0.270], [0.500, 0.500, 0.000], [0.558, 0.500, 0.619], [0.721, 0.000, 0.946], [0.887, 0.500, 0.270], [0.162, 0.500, 0.327], [0.339, 0.000, 0.676], [0.662, 0.000, 0.327], [0.839, 0.500, 0.676]],
  "volume_a3_per_atom": 12.2,
  "total_energy_ev_per_cell": -110.008,
  "total_magnetization_mub_per_fu": 0.11,
  "dos_ef_per_ev_cell": 12.310,
  "formation_enthalpy_0k_ev_per_atom": -0.10
}